Computed, not measured: an optimized crystal structure of SrEuMgWO6 at the PBE+U level of DFT.

Calculated values
final energy = -77.204 eV for the cell shown

abc: 5.664 5.664 5.664
angles: 60.00 60.00 60.00
Last column: magnetic moment on the atom in μB.
Sites, in units of the cell vectors:
O  0.743  0.257  0.743  -0.01
W  0.500  0.500  0.500  0.10
O  0.743  0.743  0.257  -0.01
O  0.257  0.257  0.743  -0.01
O  0.743  0.257  0.257  -0.01
O  0.257  0.743  0.257  -0.01
O  0.257  0.743  0.743  -0.01
Eu  0.750  0.750  0.750  6.81
Mg  0.000  0.000  0.000  0.00
Sr  0.250  0.250  0.250  0.00